1.
# BeTeH2

Crystalline BeTeH2 at its relaxed geometry (PBE-GGA, Alexandria).

Results
Energy relative to the lowest polymorph listed for this composition in kJ/mol of formula units: 215
D(E_F) in states/eV/f.u.: 0.84

Cell lengths 3.9154, 3.9154, 3.9154 Å; angles 60.00, 60.00, 60.00 degrees
Closest atoms and distances in Å follow each position.
Fractional coordinates of all 4 atoms:
Be (0.0000, 0.0000, 0.0000)  8 H 2.40
Te (0.5000, 0.5000, 0.5000)  8 H 2.40
H (0.2500, 0.2500, 0.2500)  4 Be 2.40, 4 Te 2.40
H (0.7500, 0.7500, 0.7500)  4 Be 2.40, 4 Te 2.40

***

2.
# PuPaPdRu

Crystalline PuPaPdRu at its relaxed geometry (PBE-GGA, Alexandria).

Results
Energy relative to the lowest polymorph listed for this composition in kJ/mol of formula units: 34
ΔE_f in eV per formula unit: -1.3
D(E_F) in states/eV/f.u.: 10.16

Cell lengths 4.8860, 4.8860, 4.8860 Å; angles 60.00, 60.00, 60.00 degrees
Closest atoms and distances in Å follow each position.
Fractional coordinates of all 4 atoms:
Pu (0.0000, 0.0000, 0.0000)  4 Ru 2.99, 4 Pd 2.99
Pa (0.5000, 0.5000, 0.5000)  4 Ru 2.99, 4 Pd 2.99
Pd (0.2500, 0.2500, 0.2500)  4 Pa 2.99, 4 Pu 2.99
Ru (0.7500, 0.7500, 0.7500)  4 Pa 2.99, 4 Pu 2.99

***

3.
# LiErThW

Crystalline LiErThW at its relaxed geometry (PBE-GGA, Alexandria).

Results
ΔE_f in eV per formula unit: 0.9
D(E_F) in states/eV/f.u.: 1.58

Cell lengths 5.0156, 5.0156, 5.0156 Å; angles 60.00, 60.00, 60.00 degrees
Closest atoms and distances in Å follow each position.
Fractional coordinates of all 4 atoms:
Li (0.0000, 0.0000, 0.0000)  4 Th 3.07, 4 Er 3.07
Er (0.2500, 0.2500, 0.2500)  4 W 3.07, 4 Li 3.07
Th (0.7500, 0.7500, 0.7500)  4 W 3.07, 4 Li 3.07
W (0.5000, 0.5000, 0.5000)  4 Th 3.07, 4 Er 3.07

***

4.
# La2Cd5Ga3

Crystalline La2Cd5Ga3 at its relaxed geometry (PBE-GGA, Alexandria).

Results
ΔE_f in eV per formula unit: -3.7
D(E_F) in states/eV/f.u.: 3.58

Cell lengths 4.4552, 4.4552, 12.0450 Å; angles 90.00, 90.00, 90.00 degrees
Closest atoms and distances in Å follow each position.
Fractional coordinates of all 10 atoms:
La (0.0000, 0.5000, 0.2239)  6 Ga 3.35-3.50, 6 Cd 3.49-3.50
La (0.5000, 0.0000, 0.7761)  6 Ga 3.35-3.50, 6 Cd 3.49-3.50
Cd (0.0000, 0.0000, 0.5000)  8 Cd 2.88-3.15
Cd (0.0000, 0.5000, 0.6522)  1 Ga 2.62, 4 Cd 2.88
Cd (0.5000, 0.0000, 0.3478)  1 Ga 2.62, 4 Cd 2.88
Cd (0.5000, 0.5000, 0.0000)  4 Ga 2.73
Cd (0.5000, 0.5000, 0.5000)  8 Cd 2.88-3.15
Ga (0.0000, 0.0000, 0.0000)  4 Ga 2.73
Ga (0.0000, 0.5000, 0.8696)  3 Cd 2.62-2.73, 2 Ga 2.73
Ga (0.5000, 0.0000, 0.1304)  3 Cd 2.62-2.73, 2 Ga 2.73

***

Please write out number 4 again, unchanged.
# La2Cd5Ga3

Crystalline La2Cd5Ga3 at its relaxed geometry (PBE-GGA, Alexandria).

Results
ΔE_f in eV per formula unit: -3.7
D(E_F) in states/eV/f.u.: 3.58

Cell lengths 4.4552, 4.4552, 12.0450 Å; angles 90.00, 90.00, 90.00 degrees
Closest atoms and distances in Å follow each position.
Fractional coordinates of all 10 atoms:
La (0.0000, 0.5000, 0.2239)  6 Ga 3.35-3.50, 6 Cd 3.49-3.50
La (0.5000, 0.0000, 0.7761)  6 Ga 3.35-3.50, 6 Cd 3.49-3.50
Cd (0.0000, 0.0000, 0.5000)  8 Cd 2.88-3.15
Cd (0.0000, 0.5000, 0.6522)  1 Ga 2.62, 4 Cd 2.88
Cd (0.5000, 0.0000, 0.3478)  1 Ga 2.62, 4 Cd 2.88
Cd (0.5000, 0.5000, 0.0000)  4 Ga 2.73
Cd (0.5000, 0.5000, 0.5000)  8 Cd 2.88-3.15
Ga (0.0000, 0.0000, 0.0000)  4 Ga 2.73
Ga (0.0000, 0.5000, 0.8696)  3 Cd 2.62-2.73, 2 Ga 2.73
Ga (0.5000, 0.0000, 0.1304)  3 Cd 2.62-2.73, 2 Ga 2.73